[1]
PuTePt4 (PBE, relaxed); electronic total energy = -7.3915 eV per atom; total moment = 0.81 μB/atom
1.0
-3.205 -3.864 2.115
-1.453 -4.291 -3.026
2.041 -4.928 1.104
Pt Te Pu
4 1 1
direct
0.625 0.625 0.126
0.625 0.126 0.625
0.625 0.625 0.625
0.126 0.625 0.625
0.000 0.000 0.000
0.250 0.250 0.250

***

[2]
Pu2TePt (PBE, relaxed); electronic total energy = -10.3049 eV per atom; total moment = 2.83 μB/atom; distance to the lowest polymorph of the same formula = 0 meV per atom
1.0
4.195 0.000 0.000
2.098 3.633 0.000
2.098 1.211 7.292
Pu Pt Te
2 1 1
direct
0.261 0.261 0.218
0.739 0.739 0.782
0.000 0.000 0.000
0.500 0.500 0.500

***

[3]
Pu4Te3Pt (PBE, relaxed); electronic total energy = -9.9842 eV per atom; total moment = 0.00 μB/atom
1.0
4.294 0.000 0.000
0.000 7.228 -2.457
0.000 -0.053 7.634
Pu Te Pt
4 3 1
direct
0.000 0.224 0.224
0.000 0.776 0.776
0.500 0.764 0.236
0.500 0.236 0.764
0.500 0.500 0.500
0.000 0.500 0.000
0.000 0.000 0.500
0.500 0.000 0.000

***

Number 1: density of states at the Fermi level 17.259 states/eV/f.u.. Number 2: density of states at the Fermi level 19.943 states/eV/f.u.. Number 3: density of states at the Fermi level 46.056 states/eV/f.u..